[1]
Zr2Cr | the Alexandria database | PBE | relaxed; calculated total energy = -0.6367 Ry/atom; SG = No. 164
1.0
-3.091 3.404 0.008
-0.813 -3.850 2.379
1.418 1.282 2.560
Cr Zr
1 2
direct
0.000 0.000 0.000
0.667 0.333 0.283
0.333 0.667 0.717

=====

[2]
ZrCr2 | the Alexandria database | PBE | relaxed; calculated total energy = -0.6834 Ry/atom; SG = No. 194
1.0
5.103 0.000 0.000
-2.551 4.419 0.000
0.000 0.000 8.087
Zr Cr
4 8
direct
0.333 0.667 0.060
0.667 0.333 0.560
0.667 0.333 0.940
0.333 0.667 0.440
0.000 0.000 0.000
0.000 0.000 0.500
0.833 0.665 0.250
0.167 0.335 0.750
0.335 0.167 0.250
0.833 0.167 0.250
0.167 0.833 0.750
0.665 0.833 0.750

=====

[3]
ZrCr3 | the Alexandria database | PBE | relaxed; calculated total energy = -0.6530 Ry/atom; SG = No. 223
1.0
-3.916 2.232 -1.871
-1.390 -4.187 -2.087
-2.560 -1.142 3.995
Zr Cr
2 6
direct
0.000 0.000 0.000
0.500 0.500 0.500
0.000 0.250 0.500
0.000 0.750 0.500
0.250 0.500 0.000
0.500 0.000 0.250
0.500 0.000 0.750
0.750 0.500 0.000

=====

[4]
ZrCr2 | the Alexandria database | PBE | relaxed; calculated total energy = -0.5890 Ry/atom; SG = No. 123
1.0
4.495 0.000 0.000
0.000 4.495 0.000
0.000 0.000 3.215
Cr Zr
2 1
direct
0.000 0.500 0.500
0.500 0.000 0.500
0.000 0.000 0.000